Material: NaAlGe
Method: DFT, PBE
State: optimized geometry

DOS(E_F)   0.6 states/eV/f.u.
Space group   Pnma, No. 62
Formation energy from the elements   19 kJ/mol of formula units
Volume   247.3 Å³/cell
E_tot   -3.16 eV/atom
Crystal system   orthorhombic
Total magnetic moment   0.0 Bohr magnetons per cell

Cell lengths 6.029, 4.414, 9.293 Å; angles 90.00, 90.00, 90.00 degrees
Atoms (fractional coordinates):
Na 0.131 0.250 0.078
Na 0.369 0.750 0.578
Na 0.631 0.250 0.422
Na 0.869 0.750 0.922
Al 0.052 0.250 0.705
Al 0.448 0.750 0.205
Al 0.552 0.250 0.795
Al 0.948 0.750 0.295
Ge 0.133 0.250 0.410
Ge 0.367 0.750 0.910
Ge 0.633 0.250 0.090
Ge 0.867 0.750 0.590

Material: NaAlGe
Method: DFT, PBE
State: optimized geometry

DOS(E_F)   0.9 states/eV/f.u.
Space group   C2, No. 5
Formation energy from the elements   -4 kJ/mol of formula units
Volume   125.1 Å³/cell
E_tot   -3.24 eV/atom
Crystal system   monoclinic
Total magnetic moment   0.0 Bohr magnetons per cell

Cell lengths 8.537, 8.537, 3.130 Å; angles 100.48, 100.48, 33.97 degrees
Atoms (fractional coordinates):
Na 0.183 0.183 0.181
Na 0.817 0.817 0.819
Al 0.164 0.836 0.500
Al 0.706 0.294 0.000
Ge 0.377 0.377 0.377
Ge 0.623 0.623 0.623

Material: NaAlGe
Method: DFT, PBE
State: optimized geometry

DOS(E_F)   0.6 states/eV/f.u.
Space group   Cmcm, No. 63
Formation energy from the elements   -38 kJ/mol of formula units
Volume   134.1 Å³/cell
E_tot   -3.36 eV/atom
Crystal system   orthorhombic
Total magnetic moment   0.0 Bohr magnetons per cell

Cell lengths 8.028, 8.028, 4.324 Å; angles 90.00, 90.00, 151.23 degrees
Atoms (fractional coordinates):
Na 0.081 0.919 0.750
Na 0.919 0.081 0.250
Al 0.255 0.745 0.250
Al 0.745 0.255 0.750
Ge 0.355 0.645 0.750
Ge 0.645 0.355 0.250

Material: Na3AlGe
Method: DFT, PBE
State: optimized geometry

DOS(E_F)   2.0 states/eV/f.u.
Space group   Pm-3m, No. 221
Formation energy from the elements   217 kJ/mol of formula units
Volume   170.9 Å³/cell
E_tot   -2.01 eV/atom
Crystal system   cubic
Total magnetic moment   0.0 Bohr magnetons per cell
Relative energy among the computed polymorphs   0 meV/atom

Cell lengths 5.549, 5.549, 5.549 Å; angles 90.00, 90.00, 90.00 degrees
Atoms (fractional coordinates):
Na 0.000 0.000 0.500
Na 0.000 0.500 0.000
Na 0.500 0.000 0.000
Al 0.500 0.500 0.500
Ge 0.000 0.000 0.000

Repeat the first record exactly.
Material: NaAlGe
Method: DFT, PBE
State: optimized geometry

DOS(E_F)   0.6 states/eV/f.u.
Space group   Pnma, No. 62
Formation energy from the elements   19 kJ/mol of formula units
Volume   247.3 Å³/cell
E_tot   -3.16 eV/atom
Crystal system   orthorhombic
Total magnetic moment   0.0 Bohr magnetons per cell

Cell lengths 6.029, 4.414, 9.293 Å; angles 90.00, 90.00, 90.00 degrees
Atoms (fractional coordinates):
Na 0.131 0.250 0.078
Na 0.369 0.750 0.578
Na 0.631 0.250 0.422
Na 0.869 0.750 0.922
Al 0.052 0.250 0.705
Al 0.448 0.750 0.205
Al 0.552 0.250 0.795
Al 0.948 0.750 0.295
Ge 0.133 0.250 0.410
Ge 0.367 0.750 0.910
Ge 0.633 0.250 0.090
Ge 0.867 0.750 0.590